No. 1
Computed, not measured: a relaxed NbMoPd crystal at the PBE level of DFT.

abc: 5.594 5.091 8.198
angles: 90.00 122.35 90.00
Atoms (fractional coordinates):
1 Pd 0.004 0.807 0.168
2 Nb 0.500 0.599 0.500
3 Nb 0.500 0.099 0.000
4 Mo 0.511 0.107 0.676
5 Mo 0.489 0.607 0.824
6 Nb 0.000 0.833 0.500
7 Nb 0.000 0.333 0.000
8 Mo 0.511 0.607 0.176
9 Pd 0.996 0.807 0.832
10 Pd 0.996 0.307 0.332
11 Mo 0.489 0.107 0.324
12 Pd 0.004 0.307 0.668

## Properties
- Crystal system: monoclinic
- Space group: C2, No. 5
- ΔH_f (0 K): -48 meV per atom

***

No. 2
Computed, not measured: a relaxed NbMoPd crystal at the PBE level of DFT.

abc: 2.770 4.523 7.842
angles: 90.00 94.45 90.00
Atoms (fractional coordinates):
1 Pd 0.563 0.250 0.100
2 Nb 0.011 0.750 0.230
3 Pd 0.437 0.750 0.900
4 Mo 0.332 0.250 0.429
5 Nb 0.989 0.250 0.770
6 Mo 0.668 0.750 0.571

## Properties
- Crystal system: monoclinic
- Space group: P2_1/m, No. 11
- ΔH_f (0 K): -172 meV per atom

***

No. 3
Computed, not measured: a relaxed Nb5Mo4Pd crystal at the PBE level of DFT.

abc: 3.253 3.253 16.068
angles: 90.00 90.00 90.00
Atoms (fractional coordinates):
1 Nb 0.500 0.500 0.500
2 Nb 0.500 0.500 0.701
3 Mo 0.000 0.000 0.400
4 Nb 0.500 0.500 0.896
5 Nb 0.500 0.500 0.299
6 Mo 0.000 0.000 0.198
7 Pd 0.000 0.000 0.000
8 Nb 0.500 0.500 0.104
9 Mo 0.000 0.000 0.600
10 Mo 0.000 0.000 0.802

## Properties
- Crystal system: tetragonal
- Space group: P4/mmm, No. 123
- ΔH_f (0 K): -131 meV per atom

***

No. 4
Computed, not measured: a relaxed NbMoPd2 crystal at the PBE level of DFT.

abc: 2.808 2.808 9.543
angles: 81.54 81.54 60.00
Atoms (fractional coordinates):
1 Nb 0.500 0.500 0.500
2 Pd 0.749 0.749 0.754
3 Pd 0.251 0.251 0.246
4 Mo 0.000 0.000 0.000

## Properties
- Crystal system: trigonal
- Space group: R-3m, No. 166
- ΔH_f (0 K): -11 meV per atom

***

No. 5
Computed, not measured: a relaxed TaNbMoPd crystal at the PBE level of DFT.

abc: 4.573 4.573 4.573
angles: 60.00 60.00 60.00
Atoms (fractional coordinates):
1 Mo 0.250 0.250 0.250
2 Pd 0.750 0.750 0.750
3 Nb 0.500 0.500 0.500
4 Ta 0.000 0.000 0.000

## Properties
- Crystal system: cubic
- Space group: F-43m, No. 216
- ΔH_f (0 K): -106 meV per atom

***

No. 6
Computed, not measured: a relaxed Nb2TeMoPd crystal at the PBE level of DFT.

abc: 4.797 5.003 4.797
angles: 90.00 90.00 90.00
Atoms (fractional coordinates):
1 Mo 0.000 0.000 0.000
2 Nb 0.500 0.000 0.000
3 Pd 0.000 0.500 0.000
4 Te 0.500 0.500 0.500
5 Nb 0.000 0.000 0.500

## Properties
- Crystal system: tetragonal
- Uncorrected formation energy: 1.051 eV per atom
- Space group: P4/mmm, No. 123

***

Taking the records one at a time from the top gives DFT total energy values of -104.956 -53.220 -100.175 -31.329 -38.370 -34.051 eV for the cell shown.
Taking the records one at a time from the top gives total magnetic moment values of 0.0 0.0 0.0 0.0 0.0 0.0 μB per cell.